Density functional theory data (PBE-GGA) for crystalline Tb4Nd5Sc3 at its relaxed geometry.

a b c (Å): 5.2995 6.2735 13.0189
angles (deg): 92.06 78.26 65.02
With the nearest neighbours (Å) after each atom.
Atoms (fractional coordinates):
Sc  0.3164  0.9574  0.4098  1 Nd 2.98, 1 Sc 3.14
Sc  0.0000  0.5000  0.5000  2 Nd 2.65
Sc  0.6836  0.0426  0.5902  1 Nd 2.98, 1 Sc 3.14
Nd  0.4620  0.9411  0.1349  7 Tb 3.49-3.70, 1 Sc 3.49, 4 Nd 3.59-3.74
Nd  0.5000  0.5000  0.5000  2 Sc 2.65
Nd  0.5380  0.0589  0.8651  7 Tb 3.49-3.70, 1 Sc 3.49, 4 Nd 3.59-3.74
Nd  0.9146  0.4144  0.7564  1 Sc 3.37, 4 Tb 3.39-3.68, 3 Nd 3.71-3.74
Nd  0.0854  0.5856  0.2436  1 Sc 3.37, 4 Tb 3.39-3.68, 3 Nd 3.71-3.74
Tb  0.2394  0.8126  0.7087  1 Nd 2.99
Tb  0.8287  0.3076  0.0349  4 Tb 3.43-3.62, 6 Nd 3.59-3.70
Tb  0.1713  0.6924  0.9651  4 Tb 3.43-3.62, 6 Nd 3.59-3.70
Tb  0.7606  0.1874  0.2913  1 Nd 2.99

Output
symmetry	No. 12
energy relative to the elements	228	meV per atom